No. 1
Here is crystalline Al4NiRu2Pt at its relaxed geometry from the Alexandria database. Energies are from GGA-PBE.

a = 4.230 Å, b = 4.230 Å, c = 7.329 Å
α = 73.23°, β = 73.23°, γ = 60.00°
Fractional coordinates of all 8 atoms:
Al: 0.378 0.378 0.865
Al: 0.872 0.872 0.383
Al: 0.128 0.128 0.617
Al: 0.622 0.622 0.135
Ni: 0.500 0.500 0.500
Ru: 0.750 0.750 0.749
Ru: 0.250 0.250 0.251
Pt: 0.000 0.000 0.000

Results
ΔE_f	-0.7998	eV/atom
M_tot	0.0	μB per cell
N(E_F)	2.4	states/eV/f.u.

No. 2
Here is crystalline Al4Ni2RuPt at its relaxed geometry from the Alexandria database. Energies are from GGA-PBE.

a = 4.204 Å, b = 4.204 Å, c = 7.330 Å
α = 73.34°, β = 73.34°, γ = 60.00°
Fractional coordinates of all 8 atoms:
Al: 0.377 0.377 0.868
Al: 0.873 0.873 0.380
Al: 0.127 0.127 0.620
Al: 0.623 0.623 0.132
Ni: 0.752 0.752 0.744
Ni: 0.248 0.248 0.256
Ru: 0.500 0.500 0.500
Pt: 0.000 0.000 0.000

Results
ΔE_f	-0.7445	eV/atom
M_tot	0.0	μB per cell
N(E_F)	6.0	states/eV/f.u.

No. 3
Here is crystalline AlNi7Sb2Pt2 at its relaxed geometry from the Alexandria database. Energies are from GGA-PBE.

a = 3.506 Å, b = 3.506 Å, c = 14.082 Å
α = 82.72°, β = 82.72°, γ = 89.99°
Fractional coordinates of all 12 atoms:
Al: 0.000 0.000 0.000
Ni: 0.500 0.500 0.000
Ni: 0.268 0.268 0.461
Ni: 0.732 0.732 0.539
Ni: 0.934 0.434 0.129
Ni: 0.434 0.934 0.129
Ni: 0.566 0.066 0.871
Ni: 0.066 0.566 0.871
Sb: 0.817 0.817 0.361
Sb: 0.183 0.183 0.639
Pt: 0.636 0.636 0.733
Pt: 0.364 0.364 0.267

Results
M_tot	1.9	μB per cell
formation energy from raw total energies	-0.16	eV/atom
N(E_F)	11.4	states/eV/f.u.

No. 4
Here is crystalline ScAlNi2Pt at its relaxed geometry from the Alexandria database. Energies are from GGA-PBE.

a = 4.191 Å, b = 5.044 Å, c = 4.191 Å
α = 90.00°, β = 90.00°, γ = 90.00°
Fractional coordinates of all 5 atoms:
Sc: 0.000 0.500 0.000
Ni: 0.000 0.000 0.500
Ni: 0.500 0.000 0.000
Al: 0.000 0.000 0.000
Pt: 0.500 0.500 0.500

Results
ΔE_f	0.4728	eV/atom
M_tot	0.0	μB per cell
N(E_F)	5.2	states/eV/f.u.

No. 5
Here is crystalline ScAlNiPt at its relaxed geometry from the Alexandria database. Energies are from GGA-PBE.

a = 4.414 Å, b = 4.414 Å, c = 4.414 Å
α = 60.00°, β = 60.00°, γ = 60.00°
Fractional coordinates of all 4 atoms:
Sc: 0.500 0.500 0.500
Ni: 0.250 0.250 0.250
Al: 0.000 0.000 0.000
Pt: 0.750 0.750 0.750

Results
ΔE_f	-0.9014	eV/atom
M_tot	0.0	μB per cell
N(E_F)	3.1	states/eV/f.u.

No. 6
Here is crystalline Sm2AlNi2Pt5 at its relaxed geometry from the Alexandria database. Energies are from GGA-PBE.

a = 3.931 Å, b = 9.321 Å, c = 9.321 Å
α = 90.00°, β = 90.00°, γ = 90.00°
Fractional coordinates of all 20 atoms:
Sm: 0.000 0.674 0.174
Sm: 0.000 0.326 0.826
Sm: 0.000 0.174 0.326
Sm: 0.000 0.826 0.674
Al: 0.000 0.000 0.000
Al: 0.000 0.500 0.500
Ni: 0.000 0.124 0.624
Ni: 0.000 0.876 0.376
Ni: 0.000 0.624 0.876
Ni: 0.000 0.376 0.124
Pt: 0.500 0.204 0.067
Pt: 0.500 0.796 0.933
Pt: 0.500 0.067 0.796
Pt: 0.500 0.704 0.433
Pt: 0.500 0.933 0.204
Pt: 0.500 0.296 0.567
Pt: 0.500 0.567 0.704
Pt: 0.500 0.433 0.296
Pt: 0.500 0.500 0.000
Pt: 0.500 0.000 0.500

Results
ΔE_f	-0.8506	eV/atom
M_tot	0.0	μB per cell
N(E_F)	5.8	states/eV/f.u.

No. 7
Here is crystalline Sm2AlNi3Pt12 at its relaxed geometry from the Alexandria database. Energies are from GGA-PBE.

a = 7.907 Å, b = 7.907 Å, c = 7.907 Å
α = 60.56°, β = 60.56°, γ = 60.56°
Fractional coordinates of all 18 atoms:
Sm: 0.620 0.620 0.620
Sm: 0.380 0.380 0.380
Al: 0.000 0.000 0.000
Ni: 0.500 0.000 0.000
Ni: 0.000 0.500 0.000
Ni: 0.000 0.000 0.500
Pt: 0.372 0.372 0.878
Pt: 0.873 0.873 0.376
Pt: 0.376 0.873 0.873
Pt: 0.878 0.372 0.372
Pt: 0.873 0.376 0.873
Pt: 0.372 0.878 0.372
Pt: 0.628 0.628 0.122
Pt: 0.127 0.127 0.624
Pt: 0.624 0.127 0.127
Pt: 0.122 0.628 0.628
Pt: 0.127 0.624 0.127
Pt: 0.628 0.122 0.628

Results
ΔE_f	-0.1281	eV/atom
M_tot	3.5	μB per cell
N(E_F)	15.7	states/eV/f.u.

No. 8
Here is crystalline Sm2Al4Ni3Pt at its relaxed geometry from the Alexandria database. Energies are from GGA-PBE.

a = 4.057 Å, b = 4.057 Å, c = 10.574 Å
α = 90.00°, β = 90.00°, γ = 90.00°
Fractional coordinates of all 10 atoms:
Sm: 0.500 0.000 0.241
Sm: 0.000 0.500 0.759
Al: 0.500 0.500 0.000
Al: 0.000 0.000 0.000
Al: 0.500 0.000 0.634
Al: 0.000 0.500 0.366
Ni: 0.000 0.000 0.500
Ni: 0.500 0.000 0.866
Ni: 0.000 0.500 0.134
Pt: 0.500 0.500 0.500

Results
ΔE_f	-0.7000	eV/atom
M_tot	0.0	μB per cell
N(E_F)	6.5	states/eV/f.u.